Density functional theory data (PBE+U) for a geometry-optimized LiAgMoO4 structure.

Cell: 5.6727 5.6727 5.6727 Å, 125.47 125.47 80.76°
With the nearest neighbours (Å) after each atom.
Positions (direct):
Li1 0.0000 0.0000 0.0000  4 O 1.99
Ag1 0.5000 0.5000 0.0000  4 O 2.37
Mo1 0.7500 0.2500 0.5000  4 O 1.80
O1 0.0380 0.5997 0.8939  1 Mo 1.80, 1 Li 1.99
O2 0.4003 0.2942 0.4383  1 Mo 1.80, 1 Li 1.99
O3 0.7058 0.1441 0.1061  1 Mo 1.80, 1 Li 1.99
O4 0.8559 0.9620 0.5617  1 Mo 1.80, 1 Li 1.99

Values from the calculation:
As for the space-group type: I-4. For the electronic total energy, the calculation gives -41.67 eV for the cell shown.